Record 1
VASP calculation (GGA-PBE) on a relaxed PrEu2Lu crystal.

abc: 5.1946 5.1946 5.3282
angles: 90.00 90.00 90.00
Space group P4/mmm (No. 123)
Inequivalent atoms, fractional coordinates:
Pr1 0.0000 0.0000 0.0000 (multiplicity 1)
Eu1 0.0000 0.5000 0.5000 (multiplicity 2)
Lu1 0.5000 0.5000 0.0000 (multiplicity 1)

Calculated values
* volume: 143.8 Å³ per cell
* excess energy over the best structure of this formula in the dataset: 4 kJ/mol of formula units
* total magnetic moment: 15.1 μB/f.u.
* DFT formation energy: 118 meV per atom
* energy: -0.5398 Ry per atom

***

Record 2
VASP calculation (GGA-PBE) on a relaxed PrEu2Lu crystal.

abc: 3.6687 3.6687 10.7002
angles: 90.00 90.00 90.00
Space group P4/mmm (No. 123)
Inequivalent atoms, fractional coordinates:
Pr1 0.0000 0.0000 0.0000 (multiplicity 1)
Eu1 0.5000 0.5000 0.2588 (multiplicity 2)
Lu1 0.0000 0.0000 0.5000 (multiplicity 1)

Calculated values
* volume: 144.0 Å³ per cell
* excess energy over the best structure of this formula in the dataset: 0 kJ/mol of formula units
* total magnetic moment: 15.2 μB/f.u.
* DFT formation energy: 108 meV per atom
* energy: -0.5405 Ry per atom

***

Record 3
VASP calculation (GGA-PBE) on a relaxed Pr2EuLu crystal.

abc: 5.2193 5.2193 5.1300
angles: 90.00 90.00 90.00
Space group P4/mmm (No. 123)
Inequivalent atoms, fractional coordinates:
Pr1 0.0000 0.5000 0.0000 (multiplicity 2)
Eu1 0.0000 0.0000 0.5000 (multiplicity 1)
Lu1 0.5000 0.5000 0.5000 (multiplicity 1)

Calculated values
* volume: 139.7 Å³ per cell
* excess energy over the best structure of this formula in the dataset: 15 kJ/mol of formula units
* total magnetic moment: 7.2 μB/f.u.
* DFT formation energy: 74 meV per atom
* energy: -0.4421 Ry per atom

***

Record 4
VASP calculation (GGA-PBE) on a relaxed Pr2EuLu crystal.

abc: 8.2717 8.2717 8.2717
angles: 90.00 90.00 90.00
Space group Fm-3m (No. 225)
Inequivalent atoms, fractional coordinates:
Pr1 0.2500 0.2500 0.2500 (multiplicity 8)
Eu1 0.0000 0.0000 0.0000 (multiplicity 4)
Lu1 0.0000 0.0000 0.5000 (multiplicity 4)

Calculated values
* volume: 566.0 Å³ per cell
* excess energy over the best structure of this formula in the dataset: 32 kJ/mol of formula units
* total magnetic moment: 7.6 μB/f.u.
* DFT formation energy: 118 meV per atom
* energy: -0.4388 Ry per atom

***

Record 5
VASP calculation (GGA-PBE) on a relaxed TbPrEuLu crystal.

abc: 8.1830 8.1830 8.1830
angles: 90.00 90.00 90.00
Space group F-43m (No. 216)
Inequivalent atoms, fractional coordinates:
Tb1 0.0000 0.0000 0.0000 (multiplicity 4)
Pr1 0.0000 0.0000 0.5000 (multiplicity 4)
Eu1 0.2500 0.2500 0.7500 (multiplicity 4)
Lu1 0.2500 0.2500 0.2500 (multiplicity 4)

Calculated values
* volume: 547.9 Å³ per cell
* total magnetic moment: 7.6 μB/f.u.
* DFT formation energy: 140 meV per atom
* energy: -0.4345 Ry per atom

***

Record 6
VASP calculation (GGA-PBE) on a relaxed PrEuLuTl crystal.

abc: 7.9445 7.9445 7.9445
angles: 90.00 90.00 90.00
Space group F-43m (No. 216)
Inequivalent atoms, fractional coordinates:
Pr1 0.0000 0.0000 0.0000 (multiplicity 4)
Eu1 0.0000 0.0000 0.5000 (multiplicity 4)
Lu1 0.2500 0.2500 0.7500 (multiplicity 4)
Tl1 0.2500 0.2500 0.2500 (multiplicity 4)

Calculated values
* volume: 501.4 Å³ per cell
* total magnetic moment: 7.7 μB/f.u.
* DFT formation energy: -60 meV per atom
* energy: -0.4076 Ry per atom